(1)
Below is a geometry-optimized SrCaAu2 structure, with properties calculated at the PBE level.

Lattice parameters (Å, degrees): 7.315 7.315 7.315 90.00 90.00 90.00
Space group F-43m (No. 216)
Asymmetric unit:
1 Sr 0.000 0.000 0.000 (multiplicity 4)
2 Ca 0.250 0.250 0.250 (multiplicity 4)
3 Au 0.000 0.000 0.500 (multiplicity 4)
4 Au 0.250 0.250 0.750 (multiplicity 4)

Properties
Crystal system: cubic
Formation enthalpy at 0 K in eV per atom: -0.422



(2)
Below is a geometry-optimized Ce2SmPaN4 structure, with properties calculated at the PBE level.

Lattice parameters (Å, degrees): 6.138 3.560 6.177 90.00 109.35 90.00
Space group P2/m (No. 10)
Asymmetric unit:
1 Ce 0.000 0.000 0.000 (multiplicity 1)
2 Ce 0.500 0.500 0.000 (multiplicity 1)
3 Sm 0.000 0.500 0.500 (multiplicity 1)
4 Pa 0.500 0.000 0.500 (multiplicity 1)
5 N 0.268 0.000 0.742 (multiplicity 2)
6 N 0.271 0.500 0.269 (multiplicity 2)

Properties
Crystal system: monoclinic



(3)
Below is a geometry-optimized BaHg11 structure, with properties calculated at the PBE level.

Lattice parameters (Å, degrees): 10.118 10.118 10.118 90.00 90.00 90.00
Space group Pm-3m (No. 221)
Asymmetric unit:
1 Ba 0.000 0.000 0.500 (multiplicity 3)
2 Hg 0.000 0.344 0.344 (multiplicity 12)
3 Hg 0.153 0.153 0.153 (multiplicity 8)
4 Hg 0.266 0.266 0.500 (multiplicity 12)
5 Hg 0.500 0.500 0.500 (multiplicity 1)

Properties
Crystal system: cubic
Formation enthalpy at 0 K in eV per atom: -0.156
Distance to the lowest polymorph of the same formula in eV per atom: 0.000



(4)
Below is a geometry-optimized PmCu2Te3 structure, with properties calculated at the PBE level.

Lattice parameters (Å, degrees): 22.229 4.159 7.700 90.00 102.29 90.00
Space group C2/m (No. 12)
Asymmetric unit:
1 Pm 0.151 0.000 0.015 (multiplicity 4)
2 Cu 0.053 0.500 0.142 (multiplicity 4)
3 Cu 0.213 0.000 0.412 (multiplicity 4)
4 Te 0.062 0.500 0.809 (multiplicity 4)
5 Te 0.093 0.000 0.345 (multiplicity 4)
6 Te 0.250 0.000 0.757 (multiplicity 4)

Properties
Crystal system: monoclinic
Distance to the lowest polymorph of the same formula in eV per atom: 0.000



(5)
Below is a geometry-optimized Li2PmNd2Sn2 structure, with properties calculated at the PBE level.

Lattice parameters (Å, degrees): 4.8398 4.8398 27.6898 90.00 90.00 120.00
Space group R-3m (No. 166, hexagonal axes)
Asymmetric unit:
1 Li 0.0000 0.0000 0.0989 (multiplicity 6)
2 Pm 0.0000 0.0000 0.5000 (multiplicity 3)
3 Nd 0.0000 0.0000 0.3708 (multiplicity 6)
4 Sn 0.0000 0.0000 0.2355 (multiplicity 6)

Properties
Crystal system: trigonal
Formation enthalpy at 0 K in eV per atom: -0.477



(6)
Below is a geometry-optimized Cd2SiPt2 structure, with properties calculated at the PBE level.

Lattice parameters (Å, degrees): 3.721 3.721 13.789 90.00 90.00 90.00
Space group I4/mmm (No. 139)
Asymmetric unit:
1 Cd 0.000 0.500 0.250 (multiplicity 4)
2 Si 0.000 0.000 0.000 (multiplicity 2)
3 Pt 0.000 0.000 0.407 (multiplicity 4)

Properties
Crystal system: tetragonal
Distance to the lowest polymorph of the same formula in eV per atom: 0.484



(7)
Below is a geometry-optimized In3Ni structure, with properties calculated at the PBE level.

Lattice parameters (Å, degrees): 5.694 6.929 4.299 90.00 90.00 90.00
Space group Cmmm (No. 65)
Asymmetric unit:
1 In 0.000 0.000 0.000 (multiplicity 2)
2 In 0.250 0.250 0.500 (multiplicity 4)
3 Ni 0.000 0.500 0.000 (multiplicity 2)

Properties
Crystal system: orthorhombic
Formation enthalpy at 0 K in eV per atom: 0.211



(8)
Below is a geometry-optimized NdHoRh structure, with properties calculated at the PBE level.

Lattice parameters (Å, degrees): 9.510 12.875 7.454 90.00 90.00 90.00
Space group Ima2 (No. 46)
Asymmetric unit:
1 Nd 0.250 0.000 0.000 (multiplicity 4)
2 Nd 0.250 0.202 0.607 (multiplicity 4)
3 Nd 0.250 0.703 0.106 (multiplicity 4)
4 Ho 0.000 0.000 0.669 (multiplicity 4)
5 Ho 0.000 0.132 0.273 (multiplicity 8)
6 Rh 0.000 0.167 0.905 (multiplicity 8)
7 Rh 0.250 0.000 0.405 (multiplicity 4)

Properties
Crystal system: orthorhombic
Formation enthalpy at 0 K in eV per atom: -0.567
Distance to the lowest polymorph of the same formula in eV per atom: 0.000



(9)
Below is a geometry-optimized ReSbTe2Br structure, with properties calculated at the PBE level.

Lattice parameters (Å, degrees): 5.214 5.214 5.352 90.00 90.00 90.00
Space group P4/mmm (No. 123)
Asymmetric unit:
1 Re 0.000 0.000 0.000 (multiplicity 1)
2 Sb 0.000 0.000 0.500 (multiplicity 1)
3 Te 0.000 0.500 0.000 (multiplicity 2)
4 Br 0.500 0.500 0.500 (multiplicity 1)

Properties
Crystal system: tetragonal
Distance to the lowest polymorph of the same formula in eV per atom: 0.000



(10)
Below is a geometry-optimized BaLiFe3 structure, with properties calculated at the PBE level.

Lattice parameters (Å, degrees): 5.245 5.245 5.245 90.00 90.00 90.00
Space group Pm-3m (No. 221)
Asymmetric unit:
1 Ba 0.000 0.000 0.000 (multiplicity 1)
2 Li 0.500 0.500 0.500 (multiplicity 1)
3 Fe 0.000 0.000 0.500 (multiplicity 3)

Properties
Crystal system: cubic
Formation enthalpy at 0 K in eV per atom: 2.121
Distance to the lowest polymorph of the same formula in eV per atom: 1.036



(11)
Below is a geometry-optimized Np2AlZn2 structure, with properties calculated at the PBE level.

Lattice parameters (Å, degrees): 9.553 3.582 7.082 90.00 131.86 90.00
Space group C2/m (No. 12)
Asymmetric unit:
1 Np 0.146 0.000 0.447 (multiplicity 4)
2 Al 0.000 0.500 0.000 (multiplicity 2)
3 Zn 0.221 0.500 0.846 (multiplicity 4)

Properties
Crystal system: monoclinic
Formation enthalpy at 0 K in eV per atom: -0.023



(12)
Below is a geometry-optimized HoCu4Pt structure, with properties calculated at the PBE level.

Lattice parameters (Å, degrees): 7.044 7.044 7.044 90.00 90.00 90.00
Space group F-43m (No. 216)
Asymmetric unit:
1 Ho 0.000 0.000 0.000 (multiplicity 4)
2 Cu 0.124 0.124 0.624 (multiplicity 16)
3 Pt 0.250 0.250 0.250 (multiplicity 4)

Properties
Crystal system: cubic
Formation enthalpy at 0 K in eV per atom: -0.408



(13)
Below is a geometry-optimized HfAlCrRe structure, with properties calculated at the PBE level.

Lattice parameters (Å, degrees): 6.335 6.335 6.335 90.00 90.00 90.00
Space group F-43m (No. 216)
Asymmetric unit:
1 Hf 0.000 0.000 0.000 (multiplicity 4)
2 Al 0.000 0.000 0.500 (multiplicity 4)
3 Cr 0.250 0.250 0.250 (multiplicity 4)
4 Re 0.250 0.250 0.750 (multiplicity 4)

Properties
Crystal system: cubic
Formation enthalpy at 0 K in eV per atom: -0.115



(14)
Below is a geometry-optimized PrMgSi2Pd structure, with properties calculated at the PBE level.

Lattice parameters (Å, degrees): 4.170 4.170 10.933 90.00 90.00 90.00
Space group I-4m2 (No. 119)
Asymmetric unit:
1 Pr 0.000 0.000 0.000 (multiplicity 2)
2 Mg 0.000 0.500 0.750 (multiplicity 2)
3 Si 0.000 0.000 0.392 (multiplicity 4)
4 Pd 0.000 0.500 0.250 (multiplicity 2)

Properties
Crystal system: tetragonal



(15)
Below is a geometry-optimized Ca3SiBr2 structure, with properties calculated at the PBE level.

Lattice parameters (Å, degrees): 4.401 5.911 13.614 90.00 90.00 90.00
Space group Immm (No. 71)
Asymmetric unit:
1 Ca 0.000 0.000 0.000 (multiplicity 2)
2 Ca 0.000 0.000 0.363 (multiplicity 4)
3 Si 0.000 0.500 0.000 (multiplicity 2)
4 Br 0.000 0.500 0.320 (multiplicity 4)

Properties
Crystal system: orthorhombic
Distance to the lowest polymorph of the same formula in eV per atom: 0.000



(16)
Below is a geometry-optimized Ca2Tm2Bi2S structure, with properties calculated at the PBE level.

Lattice parameters (Å, degrees): 5.109 5.109 16.402 90.00 90.00 90.00
Space group I4/mmm (No. 139)
Asymmetric unit:
1 Ca 0.000 0.000 0.171 (multiplicity 4)
2 Tm 0.000 0.500 0.000 (multiplicity 4)
3 Bi 0.000 0.000 0.368 (multiplicity 4)
4 S 0.000 0.000 0.000 (multiplicity 2)

Properties
Crystal system: tetragonal



(17)
Below is a geometry-optimized Tb2Dy3Al3 structure, with properties calculated at the PBE level.

Lattice parameters (Å, degrees): 3.675 5.148 21.619 90.00 90.00 90.00
Space group Immm (No. 71)
Asymmetric unit:
1 Tb 0.000 0.000 0.230 (multiplicity 4)
2 Dy 0.000 0.000 0.000 (multiplicity 2)
3 Dy 0.000 0.500 0.120 (multiplicity 4)
4 Al 0.000 0.000 0.500 (multiplicity 2)
5 Al 0.000 0.500 0.384 (multiplicity 4)

Properties
Crystal system: orthorhombic
Formation enthalpy at 0 K in eV per atom: -0.295
Distance to the lowest polymorph of the same formula in eV per atom: 0.000



(18)
Below is a geometry-optimized AlZnP2 structure, with properties calculated at the PBE level.

Lattice parameters (Å, degrees): 3.924 3.522 5.167 90.00 104.88 90.00
Space group P2/m (No. 10)
Asymmetric unit:
1 Al 0.000 0.000 0.000 (multiplicity 1)
2 Zn 0.500 0.000 0.500 (multiplicity 1)
3 P 0.306 0.500 0.798 (multiplicity 2)

Properties
Crystal system: monoclinic
Formation enthalpy at 0 K in eV per atom: 0.035
Distance to the lowest polymorph of the same formula in eV per atom: 0.259



(19)
Below is a geometry-optimized Pm7PrTm4 structure, with properties calculated at the PBE level.

Lattice parameters (Å, degrees): 6.288 7.261 8.942 90.00 103.56 90.04
Space group P-1 (No. 2)
Asymmetric unit:
1 Pm 0.000 0.000 0.000 (multiplicity 1)
2 Pm 0.223 0.500 0.665 (multiplicity 2)
3 Pm 0.281 0.248 0.337 (multiplicity 2)
4 Pm 0.500 0.246 0.998 (multiplicity 2)
5 Pr 0.000 0.500 0.000 (multiplicity 1)
6 Tm 0.218 0.000 0.664 (multiplicity 2)
7 Tm 0.278 0.755 0.335 (multiplicity 2)

Properties
Crystal system: triclinic
Formation enthalpy at 0 K in eV per atom: 0.001
Distance to the lowest polymorph of the same formula in eV per atom: 0.000



(20)
Below is a geometry-optimized SmInHg structure, with properties calculated at the PBE level.

Lattice parameters (Å, degrees): 6.301 6.343 17.173 90.00 90.00 90.00
Space group Fmmm (No. 69)
Asymmetric unit:
1 Sm 0.000 0.000 0.170 (multiplicity 8)
2 In 0.000 0.248 0.500 (multiplicity 8)
3 Hg 0.000 0.000 0.350 (multiplicity 8)

Properties
Crystal system: orthorhombic
Formation enthalpy at 0 K in eV per atom: -0.261



no.,spin magnetization (μB/cell),density (g/cm3),VASP energy (eV/atom)
1,0.00,8.851,-2.982
2,0.53,9.356,-8.985
3,0.00,11.273,-0.593
4,0.00,6.254,-4.318
5,0.00,6.073,-4.208
6,0.00,11.186,-3.712
7,0.00,7.894,-3.288
8,0.00,8.996,-6.132
9,0.00,7.339,-4.411
10,9.09,3.588,-3.724
11,0.01,11.624,-6.458
12,0.00,11.674,-4.908
13,8.72,11.594,-9.057
14,0.00,5.726,-5.232
15,0.00,2.889,-3.681
16,0.00,6.735,-4.558
17,0.00,7.197,-4.581
18,0.00,3.713,-3.925
19,0.00,7.663,-4.659
20,0.00,9.014,-2.848